Record 1
Pr8GaGe3I4 after structural relaxation, computed with PBE-GGA.

Lattice parameters (Å, degrees): 8.818 9.232 8.818 118.53 120.00 90.00
Element x y z (fractional)
I (0.500, 0.000, 0.500)
I (0.000, 0.000, 0.000)
I (0.500, 0.000, 0.000)
I (0.000, 0.000, 0.500)
Pr (0.766, 0.297, 0.031)
Pr (0.265, 0.297, 0.031)
Pr (0.266, 0.299, 0.532)
Pr (0.234, 0.703, 0.969)
Pr (0.734, 0.701, 0.468)
Pr (0.735, 0.703, 0.969)
Pr (0.234, 0.703, 0.469)
Pr (0.766, 0.297, 0.531)
Ge (0.500, 0.500, 0.500)
Ge (0.500, 0.500, 0.000)
Ge (0.000, 0.500, 0.500)
Ga (0.000, 0.500, 0.000)

- Space group: R-3m, No. 166
- DFT total energy: -76.8 eV per cell
- Uncorrected formation energy: -0.97 eV/atom

Record 2
Pr4GaGeI2 after structural relaxation, computed with PBE-GGA.

Lattice parameters (Å, degrees): 4.403 7.684 8.066 108.35 90.00 90.00
Element x y z (fractional)
Pr (0.000, 0.264, 0.793)
Pr (0.000, 0.736, 0.207)
Pr (0.500, 0.235, 0.204)
Pr (0.500, 0.765, 0.796)
Ga (0.500, 0.500, 0.000)
I (0.500, 0.000, 0.500)
I (0.000, 0.500, 0.500)
Ge (0.000, 0.000, 0.000)

- Space group: P2/m, No. 10
- DFT total energy: -37.1 eV per cell
- Uncorrected formation energy: -0.91 eV/atom

Record 3
GaGePt2I after structural relaxation, computed with PBE-GGA.

Lattice parameters (Å, degrees): 4.745 5.359 4.745 90.00 90.00 90.00
Element x y z (fractional)
Ga (0.000, 0.500, 0.000)
Pt (0.000, 0.000, 0.500)
Pt (0.500, 0.000, 0.000)
I (0.500, 0.500, 0.500)
Ge (0.000, 0.000, 0.000)

- Space group: P4/mmm, No. 123
- DFT total energy: -19.1 eV per cell
- Uncorrected formation energy: 0.43 eV/atom

Record 4
Rb2GaGeI5 after structural relaxation, computed with PBE-GGA.

Lattice parameters (Å, degrees): 4.688 10.624 16.787 90.00 90.00 102.75
Element x y z (fractional)
I (0.367, 0.734, 0.984)
I (0.501, 0.003, 0.773)
I (0.300, 0.599, 0.413)
I (0.741, 0.482, 0.153)
I (0.633, 0.266, 0.484)
I (0.700, 0.401, 0.913)
I (0.259, 0.518, 0.653)
I (0.915, 0.830, 0.573)
I (0.499, 0.997, 0.273)
I (0.085, 0.170, 0.073)
Ge (0.774, 0.548, 0.530)
Ge (0.226, 0.452, 0.030)
Rb (0.865, 0.729, 0.798)
Rb (0.085, 0.169, 0.647)
Rb (0.915, 0.831, 0.147)
Rb (0.135, 0.271, 0.298)
Ga (0.548, 0.096, 0.953)
Ga (0.452, 0.904, 0.453)

- Space group: Cmc2_1, No. 36
- DFT total energy: -49.3 eV per cell
- Uncorrected formation energy: -0.81 eV/atom

Record 5
RbGaGeI2 after structural relaxation, computed with PBE-GGA.

Lattice parameters (Å, degrees): 6.247 5.138 6.247 90.00 90.00 90.00
Element x y z (fractional)
Ga (0.000, 0.500, 0.000)
I (0.500, 0.000, 0.000)
I (0.000, 0.000, 0.500)
Ge (0.000, 0.000, 0.000)
Rb (0.500, 0.500, 0.500)

- Space group: P4/mmm, No. 123
- DFT total energy: -13.7 eV per cell
- Uncorrected formation energy: -0.39 eV/atom

Record 6
Rb2GaGeI6 after structural relaxation, computed with PBE-GGA.

Lattice parameters (Å, degrees): 8.386 8.386 8.365 59.92 59.92 90.00
Element x y z (fractional)
Ge (0.000, 0.000, 0.000)
I (0.250, 0.750, 0.000)
I (0.749, 0.749, 0.501)
I (0.250, 0.250, 0.000)
I (0.750, 0.250, 0.000)
I (0.251, 0.251, 0.499)
I (0.750, 0.750, 0.000)
Rb (0.750, 0.250, 0.500)
Rb (0.250, 0.750, 0.500)
Ga (0.500, 0.500, 0.000)

- Space group: I4/mmm, No. 139
- DFT total energy: -26.6 eV per cell
- Uncorrected formation energy: -0.78 eV/atom

Record 7
Ga2GeSI after structural relaxation, computed with PBE-GGA.

Lattice parameters (Å, degrees): 5.801 5.082 5.801 90.00 90.00 90.00
Element x y z (fractional)
Ge (0.500, 0.500, 0.500)
Ga (0.000, 0.000, 0.500)
Ga (0.500, 0.000, 0.000)
I (0.000, 0.000, 0.000)
S (0.000, 0.500, 0.000)

- Space group: P4/mmm, No. 123
- DFT total energy: -12.0 eV per cell
- Uncorrected formation energy: 0.88 eV/atom

Record 8
GaGeSe2I after structural relaxation, computed with PBE-GGA.

Lattice parameters (Å, degrees): 4.950 5.695 4.950 90.00 90.00 90.00
Element x y z (fractional)
I (0.000, 0.500, 0.000)
Ge (0.500, 0.500, 0.500)
Ga (0.000, 0.000, 0.000)
Se (0.500, 0.000, 0.000)
Se (0.000, 0.000, 0.500)

- Space group: P4/mmm, No. 123
- DFT total energy: -14.7 eV per cell
- Uncorrected formation energy: 0.30 eV/atom

Record 9
Sm8GaGe3I4 after structural relaxation, computed with PBE-GGA.

Lattice parameters (Å, degrees): 8.665 9.036 8.664 118.65 120.00 90.00
Element x y z (fractional)
Sm (0.265, 0.300, 0.032)
Sm (0.733, 0.699, 0.466)
Sm (0.767, 0.300, 0.534)
Sm (0.267, 0.301, 0.534)
Sm (0.233, 0.700, 0.968)
Sm (0.735, 0.700, 0.968)
Sm (0.767, 0.300, 0.032)
Sm (0.233, 0.700, 0.466)
I (0.500, 0.000, 0.000)
I (0.500, 0.000, 0.500)
I (0.000, 0.000, 0.500)
I (0.000, 0.000, 0.000)
Ge (0.500, 0.500, 0.000)
Ge (0.000, 0.500, 0.500)
Ge (0.500, 0.500, 0.500)
Ga (0.000, 0.500, 0.000)

- Space group: R-3m, No. 166
- DFT total energy: -75.9 eV per cell
- Uncorrected formation energy: -0.94 eV/atom

Record 10
Sr2GaGeI after structural relaxation, computed with PBE-GGA.

Lattice parameters (Å, degrees): 6.068 5.849 6.068 90.00 90.00 90.00
Element x y z (fractional)
Sr (0.500, 0.000, 0.000)
Sr (0.000, 0.000, 0.500)
Ga (0.500, 0.500, 0.500)
Ge (0.000, 0.000, 0.000)
I (0.000, 0.500, 0.000)

- Space group: P4/mmm, No. 123
- DFT total energy: -12.6 eV per cell
- Uncorrected formation energy: -0.01 eV/atom

Record 11
GaGeTe2I after structural relaxation, computed with PBE-GGA.

Lattice parameters (Å, degrees): 5.406 5.406 5.541 90.00 90.00 90.00
Element x y z (fractional)
Ge (0.500, 0.500, 0.500)
Ga (0.000, 0.000, 0.000)
I (0.000, 0.000, 0.500)
Te (0.500, 0.000, 0.000)
Te (0.000, 0.500, 0.000)

- Space group: P4/mmm, No. 123
- DFT total energy: -13.4 eV per cell
- Uncorrected formation energy: 0.42 eV/atom
- Relative energy among the computed polymorphs: 0.206 eV per atom

Record 12
GaGeTe2I after structural relaxation, computed with PBE-GGA.

Lattice parameters (Å, degrees): 5.451 5.451 5.952 90.00 90.00 90.00
Element x y z (fractional)
Te (0.500, 0.000, 0.000)
Te (0.000, 0.500, 0.000)
Ga (0.500, 0.500, 0.500)
Ge (0.000, 0.000, 0.000)
I (0.000, 0.000, 0.500)

- Space group: P4/mmm, No. 123
- DFT total energy: -14.4 eV per cell
- Uncorrected formation energy: 0.21 eV/atom
- Relative energy among the computed polymorphs: 0.000 eV per atom

Record 13
GaGeWI2 after structural relaxation, computed with PBE-GGA.

Lattice parameters (Å, degrees): 5.641 5.135 5.641 90.00 90.00 90.00
Element x y z (fractional)
Ga (0.000, 0.000, 0.000)
W (0.000, 0.500, 0.000)
Ge (0.500, 0.500, 0.500)
I (0.000, 0.000, 0.500)
I (0.500, 0.000, 0.000)

- Space group: P4/mmm, No. 123
- DFT total energy: -16.5 eV per cell
- Uncorrected formation energy: 1.44 eV/atom

Record 14
InGa2Ge after structural relaxation, computed with PBE-GGA.

Lattice parameters (Å, degrees): 4.319 4.319 6.110 69.30 69.30 60.00
Element x y z (fractional)
Ga (0.769, 0.769, 0.693)
Ga (0.231, 0.231, 0.307)
Ge (0.500, 0.500, 0.500)
In (0.000, 0.000, 0.000)

- Space group: R-3m, No. 166
- DFT total energy: -13.0 eV per cell
- Energy relative to the elements: 98 meV/atom
- Relative energy among the computed polymorphs: 0.000 eV per atom

Record 15
In12Ga6Ge after structural relaxation, computed with PBE-GGA.

Lattice parameters (Å, degrees): 7.780 7.780 7.780 88.30 88.30 88.30
Element x y z (fractional)
Ga (0.248, 0.115, 0.736)
Ga (0.885, 0.264, 0.752)
Ga (0.115, 0.736, 0.248)
Ga (0.264, 0.752, 0.885)
Ga (0.736, 0.248, 0.115)
Ga (0.752, 0.885, 0.264)
In (0.158, 0.375, 0.031)
In (0.969, 0.842, 0.625)
In (0.842, 0.625, 0.969)
In (0.440, 0.803, 0.525)
In (0.525, 0.440, 0.803)
In (0.803, 0.525, 0.440)
In (0.375, 0.031, 0.158)
In (0.031, 0.158, 0.375)
In (0.197, 0.475, 0.560)
In (0.625, 0.969, 0.842)
In (0.560, 0.197, 0.475)
In (0.475, 0.560, 0.197)
Ge (0.000, 0.000, 0.000)

- Space group: R-3, No. 148
- DFT total energy: -54.4 eV per cell
- Energy relative to the elements: 65 meV/atom

Record 16
In2GaGe after structural relaxation, computed with PBE-GGA.

Lattice parameters (Å, degrees): 3.365 3.365 8.226 90.00 90.00 90.00
Element x y z (fractional)
Ge (0.500, 0.500, 0.000)
Ga (0.500, 0.500, 0.500)
In (0.000, 0.000, 0.754)
In (0.000, 0.000, 0.246)

- Space group: P4/mmm, No. 123
- DFT total energy: -12.6 eV per cell
- Energy relative to the elements: 127 meV/atom

Record 17
In2GaGe2 after structural relaxation, computed with PBE-GGA.

Lattice parameters (Å, degrees): 4.959 4.959 6.227 66.53 66.53 90.00
Element x y z (fractional)
Ge (0.381, 0.381, 0.238)
Ge (0.619, 0.619, 0.762)
In (0.250, 0.750, 0.500)
In (0.750, 0.250, 0.500)
Ga (0.000, 0.000, 0.000)

- Space group: I4/mmm, No. 139
- DFT total energy: -16.7 eV per cell
- Energy relative to the elements: 209 meV/atom
- Relative energy among the computed polymorphs: 0.063 eV per atom

Record 18
In2GaGe2 after structural relaxation, computed with PBE-GGA.

Lattice parameters (Å, degrees): 6.848 6.848 4.987 90.00 90.00 90.00
Element x y z (fractional)
Ge (0.367, 0.867, 0.000)
Ge (0.633, 0.133, 0.000)
Ge (0.133, 0.367, 0.000)
Ge (0.867, 0.633, 0.000)
In (0.181, 0.681, 0.500)
In (0.681, 0.819, 0.500)
In (0.319, 0.181, 0.500)
In (0.819, 0.319, 0.500)
Ga (0.000, 0.000, 0.000)
Ga (0.500, 0.500, 0.000)

- Space group: P4/mbm, No. 127
- DFT total energy: -34.0 eV per cell
- Energy relative to the elements: 146 meV/atom
- Relative energy among the computed polymorphs: 0.000 eV per atom

Record 19
In2GaGe2 after structural relaxation, computed with PBE-GGA.

Lattice parameters (Å, degrees): 8.511 8.511 3.275 90.00 90.00 90.00
Element x y z (fractional)
Ge (0.137, 0.637, 0.500)
Ge (0.863, 0.363, 0.500)
Ge (0.363, 0.137, 0.500)
Ge (0.637, 0.863, 0.500)
In (0.842, 0.658, 0.000)
In (0.658, 0.158, 0.000)
In (0.158, 0.342, 0.000)
In (0.342, 0.842, 0.000)
Ga (0.000, 0.000, 0.000)
Ga (0.500, 0.500, 0.000)

- Space group: P4/mbm, No. 127
- DFT total energy: -33.1 eV per cell
- Energy relative to the elements: 236 meV/atom
- Relative energy among the computed polymorphs: 0.090 eV per atom

Record 20
InGa3Ge3 after structural relaxation, computed with PBE-GGA.

Lattice parameters (Å, degrees): 7.122 7.122 7.122 90.00 90.00 90.00
Element x y z (fractional)
In (0.000, 0.000, 0.000)
In (0.500, 0.500, 0.500)
Ge (0.250, 0.000, 0.500)
Ge (0.500, 0.250, 0.000)
Ge (0.500, 0.750, 0.000)
Ge (0.000, 0.500, 0.250)
Ge (0.000, 0.500, 0.750)
Ge (0.750, 0.000, 0.500)
Ga (0.500, 0.000, 0.250)
Ga (0.250, 0.500, 0.000)
Ga (0.000, 0.750, 0.500)
Ga (0.750, 0.500, 0.000)
Ga (0.000, 0.250, 0.500)
Ga (0.500, 0.000, 0.750)

- Space group: Pm-3n, No. 223
- DFT total energy: -48.5 eV per cell
- Energy relative to the elements: 204 meV/atom